No. 1
## Ta2HgRh (PBE)

Data for a geometry-optimized Ta2HgRh structure.

Output
- E_tot: -7.432 eV/atom
- Space group: I-42d
- Energy of formation from the pure elements: 408 meV/atom
- Magnetic moment: 0.0 μB per formula unit

```
Ta2HgRh
1.0
7.5021 0.0000 0.0000
0.0000 7.5021 0.0000
0.0000 0.0000 5.4752
Ta Hg Rh
8 4 4
Cartesian
1.5694 1.8755 0.6844
1.8755 5.3205 2.0532
1.8755 5.9327 4.7908
2.1816 1.8755 3.4220
5.3205 5.6266 3.4220
5.6266 1.5694 4.7908
5.6266 2.1816 2.0532
5.9327 5.6266 0.6844
0.0000 0.0000 2.7376
0.0000 3.7510 4.1064
3.7510 0.0000 1.3688
3.7510 3.7510 0.0000
0.0000 0.0000 0.0000
0.0000 3.7510 1.3688
3.7510 0.0000 4.1064
3.7510 3.7510 2.7376
```


No. 2
## Ta2HgRh (PBE)

Data for a geometry-optimized Ta2HgRh structure.

Output
- E_tot: -7.804 eV/atom
- Space group: Cmmm
- Energy of formation from the pure elements: 35 meV/atom
- Magnetic moment: 0.0 μB per formula unit

```
Ta2HgRh
1.0
5.6921 0.0000 0.0000
0.0000 8.4264 0.0000
0.0000 0.0000 2.8990
Ta Hg Rh
4 2 2
Cartesian
1.4230 2.1066 0.0000
1.4230 6.3198 0.0000
4.2690 2.1066 0.0000
4.2690 6.3198 0.0000
0.0000 0.0000 1.4495
2.8460 4.2132 1.4495
0.0000 4.2132 1.4495
2.8460 0.0000 1.4495
```